A relaxed Sr3SnAs crystal, computed with PBE.

Values from the calculation:
Energy of formation from the pure elements, kJ/mol of formula units: -316
Total magnetic moment, μB/f.u.: 0.601
Excess energy over the best structure of this formula in the dataset, meV per atom: 0
Mass density, Mg/m³: 3.70
Density of states at the Fermi level, states/eV per atom: 1.12

a b c (Å): 5.8943 5.8943 5.8943
angles (deg): 90.00 90.00 90.00
With the nearest neighbours (Å) after each atom.
Space group Pm-3m (No. 221)
One atom of each set of equivalent atoms:
1 Sr 0.0000 0.0000 0.5000  2 As 2.95
2 Sn 0.5000 0.5000 0.5000  12 Sr 4.17
3 As 0.0000 0.0000 0.0000  6 Sr 2.95



A relaxed RbCaBr crystal, computed with PBE.

Values from the calculation:
Uncorrected formation energy, eV per formula unit: -2.70
Total magnetic moment, μB/f.u.: 0.000
Excess energy over the best structure of this formula in the dataset, meV per atom: 22
Mass density, Mg/m³: 2.67
Density of states at the Fermi level, states/eV per atom: 0.41

a b c (Å): 7.3622 4.2388 8.5400
angles (deg): 90.00 106.84 90.00
With the nearest neighbours (Å) after each atom.
Space group Cm (No. 8)
One atom of each set of equivalent atoms:
1 Rb 0.0000 0.0000 0.0000  3 Br 3.57
2 Ca 0.0228 0.5000 0.5613  3 Br 3.16
3 Br 0.2739 0.5000 0.3174  3 Ca 3.16



A relaxed PrDyCoRu crystal, computed with PBE.

Values from the calculation:
Energy of formation from the pure elements, kJ/mol of formula units: -29
Total magnetic moment, μB/f.u.: 0.006
Mass density, Mg/m³: 9.41
Density of states at the Fermi level, states/eV per atom: 0.96

a b c (Å): 6.8905 6.8905 6.8905
angles (deg): 90.00 90.00 90.00
With the nearest neighbours (Å) after each atom.
Space group F-43m (No. 216)
One atom of each set of equivalent atoms:
1 Pr 0.0000 0.0000 0.0000  4 Ru 2.98, 4 Co 2.98
2 Dy 0.0000 0.0000 0.5000  4 Co 2.98, 4 Ru 2.98
3 Co 0.2500 0.2500 0.2500  4 Pr 2.98, 4 Dy 2.98
4 Ru 0.2500 0.2500 0.7500  4 Dy 2.98, 4 Pr 2.98



A relaxed Rb2TiMnTl crystal, computed with PBE.

Values from the calculation:
Energy of formation from the pure elements, kJ/mol of formula units: 640
Total magnetic moment, μB/f.u.: 4.469
Mass density, Mg/m³: 3.12
Density of states at the Fermi level, states/eV per atom: 1.35

a b c (Å): 6.9811 6.9811 5.2154
angles (deg): 90.00 90.00 90.00
With the nearest neighbours (Å) after each atom.
Space group P4/mmm (No. 123)
One atom of each set of equivalent atoms:
1 Rb 0.0000 0.5000 0.0000  2 Tl 3.49
2 Ti 0.0000 0.0000 0.5000  8 Rb 4.36
3 Mn 0.5000 0.5000 0.5000  2 Tl 2.61
4 Tl 0.5000 0.5000 0.0000  2 Mn 2.61



A relaxed PmPuBe crystal, computed with PBE.

Values from the calculation:
Energy of formation from the pure elements, kJ/mol of formula units: 68
Total magnetic moment, μB/f.u.: 5.925
Mass density, Mg/m³: 9.48
Density of states at the Fermi level, states/eV per atom: 2.54

a b c (Å): 5.8928 11.3881 8.3110
angles (deg): 90.00 90.00 90.00
With the nearest neighbours (Å) after each atom.
Space group Cmce (No. 64)
One atom of each set of equivalent atoms:
1 Pm 0.0000 0.1714 0.1000  4 Be 3.01-3.11
2 Pu 0.2500 0.0737 0.7500  4 Be 2.87-2.93, 2 Pu 2.95
3 Be 0.0000 0.0894 0.4455  1 Be 2.23



A relaxed SmZr2RhN4 crystal, computed with PBE.

Values from the calculation:
Uncorrected formation energy, eV per formula unit: -8.79
Total magnetic moment, μB/f.u.: 0.000
Mass density, Mg/m³: 7.74
Density of states at the Fermi level, states/eV per atom: 0.33

a b c (Å): 3.2378 11.3825 11.4439
angles (deg): 90.00 90.00 90.00
With the nearest neighbours (Å) after each atom.
Space group Cmcm (No. 63)
One atom of each set of equivalent atoms:
1 Sm 0.0000 0.1160 0.2500  6 N 2.39-2.61
2 Zr 0.0000 0.3696 0.0499  5 N 2.15-2.39
3 Rh 0.0000 0.1478 0.7500  4 N 2.04-2.13
4 N 0.0000 0.0000 0.0000  4 Zr 2.27
5 N 0.0000 0.2717 0.6105  1 Rh 2.13, 3 Zr 2.15-2.39
6 N 0.0000 0.4611 0.2500  2 Rh 2.04